Run 1
VASP calculation (PBE) on crystalline KZnBr3 at its relaxed geometry.

abc: 6.205 6.205 6.205
angles: 90.00 90.00 90.00
Last column: magnetic moment on the atom in μB.
Fractional positions:
Br 0.000 0.500 0.000  0.36
Zn 0.500 0.500 0.500  0.30
Br 0.500 0.000 0.000  0.36
K 0.000 0.000 0.000  0.00
Br 0.000 0.000 0.500  0.36

Results
**M_tot**: 2.08 μB per cell
**SG**: No. 221

Run 2
VASP calculation (PBE) on crystalline KZnBr3 at its relaxed geometry.

abc: 7.848 6.965 14.876
angles: 111.26 90.00 90.00
Fractional positions:
K 0.084 0.712 0.166
Zn 0.324 0.071 0.950
Br 0.375 0.041 0.110
Br 0.874 0.164 0.157
Zn 0.176 0.071 0.450
Br 0.875 0.959 0.390
Br 0.126 0.836 0.843
Br 0.626 0.164 0.657
Br 0.625 0.959 0.890
Br 0.374 0.836 0.343
K 0.416 0.712 0.666
Zn 0.824 0.929 0.550
Br 0.233 0.416 0.463
Br 0.767 0.584 0.537
Br 0.267 0.416 0.963
K 0.584 0.288 0.334
K 0.916 0.288 0.834
Zn 0.676 0.929 0.050
Br 0.125 0.041 0.610
Br 0.733 0.584 0.037

Results
**M_tot**: 0.00 μB per cell
**SG**: No. 14

Here are the energies relative to the best structure, in kJ/mol of atoms: run 1 107.1; run 2 0.0.

Run 1
VASP calculation (PBE) on crystalline K2ZnBr4 at its relaxed geometry.

abc: 5.360 5.360 8.929
angles: 72.53 72.53 90.00
Fractional positions:
Br 0.159 0.159 0.681
K 0.364 0.364 0.273
Br 0.500 0.000 0.000
K 0.636 0.636 0.727
Br 0.000 0.500 0.000
Zn 0.000 0.000 0.000
Br 0.841 0.841 0.319

Results
**M_tot**: 0.00 μB per cell
**SG**: No. 139

Run 2
VASP calculation (PBE) on crystalline K2ZnBr4 at its relaxed geometry.

abc: 7.600 7.507 9.178
angles: 72.14 90.00 90.00
Fractional positions:
Br 0.502 0.465 0.749
Br 0.709 0.907 0.929
Br 0.712 0.924 0.367
Br 0.212 0.076 0.633
Br 0.505 0.490 0.264
Br 0.209 0.093 0.071
Zn 0.238 0.270 0.802
K 0.773 0.282 0.053
K 0.777 0.236 0.566
Zn 0.738 0.730 0.198
Br 0.002 0.535 0.251
Br 0.005 0.510 0.736
K 0.277 0.764 0.434
K 0.273 0.718 0.947

Results
**M_tot**: 0.00 μB per cell
**SG**: No. 4

Here are the energies relative to the best structure, in kJ/mol of atoms: run 1 9.5; run 2 0.0.

Run 1
VASP calculation (PBE) on crystalline KZrBr2 at its relaxed geometry.

abc: 5.420 3.589 5.844
angles: 72.21 90.00 90.00
Last column: magnetic moment on the atom in μB.
Fractional positions:
Br 0.000 0.871 0.884  0.00
K 0.000 0.596 0.431  0.00
Zr 0.500 0.875 0.875  0.23
Br 0.500 0.158 0.310  0.00

Results
**M_tot**: 0.36 μB per cell
**SG**: No. 6

Run 2
VASP calculation (PBE) on crystalline KZrBr2 at its relaxed geometry.

abc: 5.500 5.500 5.500
angles: 60.00 60.00 60.00
Last column: magnetic moment on the atom in μB.
Fractional positions:
Br 0.000 0.000 0.000  -0.05
Br 0.250 0.250 0.250  -0.01
Zr 0.750 0.750 0.750  1.82
K 0.500 0.500 0.500  0.07

Results
**M_tot**: 2.99 μB per cell
**SG**: No. 216

Run 3
VASP calculation (PBE) on crystalline KZrBr2 at its relaxed geometry.

abc: 3.853 3.853 9.836
angles: 90.00 90.00 126.05
Fractional positions:
K 0.500 0.500 0.250
Br 0.000 0.000 0.972
Br 0.000 0.000 0.528
Zr 0.500 0.500 0.750

Results
**M_tot**: 0.00 μB per cell
**SG**: No. 65

Run 4
VASP calculation (PBE) on crystalline KZrBr2 at its relaxed geometry.

abc: 3.531 3.531 8.202
angles: 90.00 90.00 90.00
Fractional positions:
K 0.500 0.500 0.250
Br 0.000 0.000 0.549
Zr 0.500 0.500 0.750
Br 0.000 0.000 0.951

Results
**M_tot**: 0.00 μB per cell
**SG**: No. 123

Here are the energies relative to the best structure, in kJ/mol of atoms: run 1 0.0; run 2 83.2; run 3 1.5; run 4 2.1.

Run 1
VASP calculation (PBE) on crystalline KZrBr2 at its relaxed geometry.

abc: 6.579 6.579 6.579
angles: 148.84 111.26 77.39
Last column: magnetic moment on the atom in μB.
Fractional positions:
Zr 0.250 0.750 0.500  0.55
K 0.750 0.250 0.500  0.01
Br 0.047 0.047 0.000  0.01
Br 0.453 0.453 0.000  0.01

Results
**M_tot**: 1.05 μB per cell
**SG**: No. 71

Run 2
VASP calculation (PBE) on crystalline KZrBr2 at its relaxed geometry.

abc: 8.135 8.135 8.135
angles: 152.41 153.74 38.46
Last column: magnetic moment on the atom in μB.
Fractional positions:
Br 0.776 0.276 0.500  0.01
Zr 0.200 0.700 0.500  0.43
K 0.454 0.454 0.000  0.01
Br 0.070 0.070 0.000  0.01

Results
**M_tot**: 0.87 μB per cell
**SG**: No. 44

Here are the energies relative to the best structure, in kJ/mol of atoms: run 1 2.5; run 2 0.0.

Run 1
VASP calculation (PBE) on crystalline KZrBr2 at its relaxed geometry.

abc: 6.311 6.311 9.084
angles: 69.68 69.68 90.00
Last column: magnetic moment on the atom in μB.
Fractional positions:
Br 0.875 0.949 0.750  0.01
K 0.250 0.750 0.500  0.02
Br 0.051 0.625 0.250  0.01
Zr 0.000 0.000 0.000  1.56
Br 0.699 0.125 0.250  0.01
K 0.500 0.500 0.000  0.02
Zr 0.750 0.250 0.500  1.54
Br 0.375 0.301 0.750  0.01

Results
**M_tot**: 5.72 μB per cell
**SG**: No. 122

Run 2
VASP calculation (PBE) on crystalline KZrBr2 at its relaxed geometry.

abc: 10.990 10.990 10.990
angles: 19.03 19.03 19.03
Fractional positions:
Br 0.892 0.892 0.892
K 0.000 0.000 0.000
Zr 0.500 0.500 0.500
Br 0.108 0.108 0.108

Results
**M_tot**: 0.00 μB per cell
**SG**: No. 166

Run 3
VASP calculation (PBE) on crystalline KZrBr2 at its relaxed geometry.

abc: 3.970 3.970 7.718
angles: 90.00 90.00 90.00
Last column: magnetic moment on the atom in μB.
Fractional positions:
K 0.000 0.000 0.455  0.03
Zr 0.500 0.500 0.871  1.09
Br 0.500 0.500 0.237  0.02
Br 0.000 0.000 0.937  0.04

Results
**M_tot**: 2.24 μB per cell
**SG**: No. 99

Run 4
VASP calculation (PBE) on crystalline KZrBr2 at its relaxed geometry.

abc: 5.204 5.204 7.344
angles: 75.96 75.96 40.10
Last column: magnetic moment on the atom in μB.
Fractional positions:
K 0.518 0.518 0.511  0.02
Br 0.965 0.965 0.140  0.00
Br 0.749 0.749 0.780  0.01
Zr 0.269 0.269 0.069  0.51

Results
**M_tot**: 1.04 μB per cell
**SG**: No. 8

Here are the energies relative to the best structure, in kJ/mol of atoms: run 1 22.4; run 2 0.0; run 3 14.9; run 4 7.0.

Run 1
VASP calculation (PBE) on crystalline K2Zr2Br at its relaxed geometry.

abc: 4.554 4.554 9.324
angles: 75.86 75.86 90.00
Fractional positions:
Zr 0.567 0.567 0.866
K 0.250 0.750 0.500
K 0.750 0.250 0.500
Zr 0.433 0.433 0.134
Br 0.000 0.000 0.000

Results
**M_tot**: 0.00 μB per cell
**SG**: No. 139

Run 2
VASP calculation (PBE) on crystalline K2Zr2Br at its relaxed geometry.

abc: 10.635 10.635 3.512
angles: 90.00 90.00 90.00
Last column: magnetic moment on the atom in μB.
Fractional positions:
K 0.792 0.292 0.500  0.01
Zr 0.082 0.418 0.000  0.37
K 0.208 0.708 0.500  0.01
Zr 0.918 0.582 0.000  0.37
K 0.708 0.792 0.500  0.01
Br 0.500 0.500 0.000  0.00
Zr 0.582 0.082 0.000  0.35
Br 0.000 0.000 0.000  0.00
Zr 0.418 0.918 0.000  0.35
K 0.292 0.208 0.500  0.01

Results
**M_tot**: 2.22 μB per cell
**SG**: No. 127

Here are the energies relative to the best structure, in kJ/mol of atoms: run 1 22.3; run 2 0.0.